(1)
VASP calculation (PBE-GGA) on a geometry-optimized TiAlAg structure.

Lattice parameters (Å, degrees): 3.925 3.925 6.893 90.00 90.00 90.00
Fractional positions:
Ti: 0.250 0.250 0.152
Ti: 0.750 0.750 0.848
Al: 0.250 0.750 0.500
Al: 0.750 0.250 0.500
Ag: 0.250 0.250 0.759
Ag: 0.750 0.750 0.241

energy of formation = 68 meV/atom

---

(2)
VASP calculation (PBE-GGA) on a geometry-optimized BaAc3Tl4 structure.

Lattice parameters (Å, degrees): 10.772 10.772 10.772 158.53 136.77 48.76
Fractional positions:
Ba: 0.000 0.000 0.000
Ac: 0.210 0.710 0.500
Ac: 0.500 0.500 0.000
Ac: 0.790 0.290 0.500
Tl: 0.171 0.870 0.301
Tl: 0.431 0.130 0.301
Tl: 0.569 0.870 0.699
Tl: 0.829 0.130 0.699

energy of formation = -242 meV/atom
excess energy over the best structure of this formula in the dataset = 0.864 eV per formula unit

---

(3)
VASP calculation (PBE-GGA) on a geometry-optimized Y4Ga12Os structure.

Lattice parameters (Å, degrees): 7.477 7.477 7.477 109.47 109.47 109.47
Fractional positions:
Y: 0.000 0.000 0.500
Y: 0.000 0.500 0.000
Y: 0.500 0.000 0.000
Y: 0.500 0.500 0.500
Ga: 0.000 0.292 0.292
Ga: 0.000 0.708 0.708
Ga: 0.250 0.500 0.750
Ga: 0.250 0.750 0.500
Ga: 0.292 0.000 0.292
Ga: 0.292 0.292 0.000
Ga: 0.500 0.250 0.750
Ga: 0.500 0.750 0.250
Ga: 0.708 0.000 0.708
Ga: 0.708 0.708 0.000
Ga: 0.750 0.250 0.500
Ga: 0.750 0.500 0.250
Os: 0.000 0.000 0.000

energy of formation = -542 meV/atom

---

(4)
VASP calculation (PBE-GGA) on a geometry-optimized SrCa2H2 structure.

Lattice parameters (Å, degrees): 7.668 7.668 4.659 90.00 90.00 90.00
Fractional positions:
Sr: 0.000 0.000 0.000
Sr: 0.500 0.500 0.000
Ca: 0.174 0.326 0.500
Ca: 0.326 0.826 0.500
Ca: 0.674 0.174 0.500
Ca: 0.826 0.674 0.500
H: 0.226 0.274 0.000
H: 0.274 0.774 0.000
H: 0.726 0.226 0.000
H: 0.774 0.726 0.000

---

(5)
VASP calculation (PBE-GGA) on a geometry-optimized BaSi2W structure.

Lattice parameters (Å, degrees): 5.379 5.379 5.379 132.45 132.45 69.52
Fractional positions:
Ba: 0.000 0.000 0.000
Si: 0.250 0.750 0.500
Si: 0.500 0.500 0.000
W: 0.750 0.250 0.500

excess energy over the best structure of this formula in the dataset = 4.664 eV per formula unit
energy relative to the elements, uncorrected = 4.67 eV per formula unit

---

(6)
VASP calculation (PBE-GGA) on a geometry-optimized TaMnIn2 structure.

Lattice parameters (Å, degrees): 6.046 6.046 6.046 102.90 102.90 123.60
Fractional positions:
Ta: 0.000 0.000 0.000
Ta: 0.750 0.250 0.500
Mn: 0.250 0.750 0.500
Mn: 0.500 0.500 0.000
In: 0.147 0.625 0.022
In: 0.375 0.397 0.522
In: 0.603 0.125 0.978
In: 0.875 0.853 0.478

energy of formation = 637 meV/atom
excess energy over the best structure of this formula in the dataset = 1.773 eV per formula unit

---

Across the entries above, electronic total energy takes the values -4.761, -3.206, -4.860, -2.563, -5.262, -5.988 eV per atom, respectively.